1.
Computed, not measured: a relaxed structure of Al6InAu12 at the GGA-PBE level of DFT.

Results
- Space group: R-3m (166)
- Relative energy among the computed polymorphs: 76.5 meV/atom

Cell lengths 7.249, 7.249, 7.249 Å; angles 90.70, 90.70, 90.70 degrees
Sites, in units of the cell vectors:
Al: 0.180 0.180 0.677
Al: 0.180 0.677 0.180
Al: 0.323 0.820 0.820
Al: 0.677 0.180 0.180
Al: 0.820 0.323 0.820
Al: 0.820 0.820 0.323
In: 0.000 0.000 0.000
Au: 0.135 0.500 0.865
Au: 0.135 0.865 0.500
Au: 0.203 0.478 0.478
Au: 0.478 0.203 0.478
Au: 0.478 0.478 0.203
Au: 0.500 0.135 0.865
Au: 0.500 0.865 0.135
Au: 0.522 0.522 0.797
Au: 0.522 0.797 0.522
Au: 0.797 0.522 0.522
Au: 0.865 0.135 0.500
Au: 0.865 0.500 0.135

***

2.
Computed, not measured: a relaxed structure of AlInAu4 at the GGA-PBE level of DFT.

Results
- Space group: F-43m (216)
- Relative energy among the computed polymorphs: 230.1 meV/atom

Cell lengths 5.554, 5.554, 5.554 Å; angles 60.00, 60.00, 60.00 degrees
Sites, in units of the cell vectors:
Al: 0.000 0.000 0.000
In: 0.250 0.250 0.250
Au: 0.124 0.625 0.625
Au: 0.625 0.124 0.625
Au: 0.625 0.625 0.124
Au: 0.625 0.625 0.625

***

3.
Computed, not measured: a relaxed structure of Al2In2Au at the GGA-PBE level of DFT.

Results
- Space group: P4/mbm (127)
- Relative energy among the computed polymorphs: 0.0 meV/atom

Cell lengths 6.792, 6.792, 4.678 Å; angles 90.00, 90.00, 90.00 degrees
Sites, in units of the cell vectors:
Al: 0.140 0.360 0.000
Al: 0.360 0.860 0.000
Al: 0.640 0.140 0.000
Al: 0.860 0.640 0.000
In: 0.171 0.671 0.500
In: 0.329 0.171 0.500
In: 0.671 0.829 0.500
In: 0.829 0.329 0.500
Au: 0.000 0.000 0.000
Au: 0.500 0.500 0.000

***

| no. | M_tot (μB/f.u.) | ΔH_f (0 K) (meV per atom) |
| --- | --- | --- |
| 1 | 0.000 | -169.6 |
| 2 | 0.000 | 31.9 |
| 3 | 0.000 | -40.8 |